[1]
The following is a SCAN calculation of BaP2Ru at its PBEsol-relaxed geometry, from the Alexandria database.

## Properties
The value obtained for the energy of formation is -0.58 eV per atom. The space group is Amm2, No. 38. The size of the total moment is 0.00 μB per formula unit. The calculation puts the final energy at -24.38 eV/atom.

Cell: 3.805 4.198 6.400 Å, 90.00 107.29 90.00°
Positions (direct):
Ba (0.539, 0.500, 0.077)
P (0.909, 0.000, 0.817)
P (0.248, 0.500, 0.496)
Ru (0.308, 0.000, 0.616)

[2]
The following is a SCAN calculation of YZn2Au at its PBEsol-relaxed geometry, from the Alexandria database.

## Properties
The value obtained for the energy of formation is -0.46 eV per atom. The space group is P4/mmm, No. 123. The size of the total moment is 0.00 μB per formula unit. The calculation puts the final energy at -31.47 eV/atom.

Cell: 4.110 4.110 4.442 Å, 90.00 90.00 90.00°
Positions (direct):
Au (0.500, 0.500, 0.500)
Y (0.000, 0.000, 0.500)
Zn (0.000, 0.500, 0.000)
Zn (0.500, 0.000, 0.000)